No. 1
Tl2PbS3 | PBE | relaxed

Lattice parameters (Å, degrees): 5.6988 4.2793 7.3102 107.02 112.94 90.00
With the nearest neighbours (Å) after each atom.
Fractional coordinates of all 6 atoms:
1 Tl 0.8360 0.4590 0.6721  6 S 2.85-3.07
2 Tl 0.1640 0.7869 0.3279  6 S 2.85-3.07
3 Pb 0.5000 0.1236 0.0000  6 S 2.85-3.00
4 S 0.0000 0.1242 0.0000  2 Pb 2.85, 4 Tl 2.99-3.00
5 S 0.3360 0.4606 0.6720  4 Tl 2.85-3.07, 2 Pb 2.99-3.00
6 S 0.6640 0.7886 0.3280  4 Tl 2.85-3.07, 2 Pb 2.99-3.00

Values from the calculation:
Formation energy without anion corrections: -0.2843 eV per atom
Total DFT energy (no corrections): -22.5 eV/f.u.
Spin magnetization: 0.000 μB/f.u.

No. 2
TlPb2S | PBE | relaxed

Lattice parameters (Å, degrees): 3.8374 3.8374 9.3946 78.56 78.56 60.12
With the nearest neighbours (Å) after each atom.
Fractional coordinates of all 4 atoms:
1 Tl 0.4990 0.4990 0.4999  6 Pb 3.44-3.48, 6 Tl 3.84
2 Pb 0.0687 0.0687 0.7910  3 S 2.93
3 Pb 0.2658 0.2658 0.2087  3 S 2.92
4 S 0.6664 0.6664 0.0004  6 Pb 2.92-2.93

Values from the calculation:
Distance to the lowest polymorph of the same formula: 0 meV/atom
Formation energy without anion corrections: -0.1197 eV per atom
Total DFT energy (no corrections): -14.4 eV/f.u.
Spin magnetization: 0.000 μB/f.u.

No. 3
TlPb2S | PBE | relaxed

Lattice parameters (Å, degrees): 5.3594 5.3594 5.3594 60.00 60.00 60.00
With the nearest neighbours (Å) after each atom.
Fractional coordinates of all 4 atoms:
1 Pb 0.2500 0.2500 0.2500  4 Tl 3.28, 4 S 3.28
2 Pb 0.7500 0.7500 0.7500  4 Tl 3.28, 4 S 3.28
3 Tl 0.5000 0.5000 0.5000  8 Pb 3.28
4 S 0.0000 0.0000 0.0000  8 Pb 3.28

Values from the calculation:
Distance to the lowest polymorph of the same formula: 204 meV/atom
Formation energy without anion corrections: 0.0842 eV per atom
Total DFT energy (no corrections): -13.6 eV/f.u.
Spin magnetization: 0.000 μB/f.u.

No. 4
TlPbS | PBE | relaxed

Lattice parameters (Å, degrees): 3.9782 6.1089 10.4119 124.79 90.00 109.00
With the nearest neighbours (Å) after each atom.
Fractional coordinates of all 6 atoms:
1 Tl 0.0350 0.0700 0.3458  3 S 3.03-3.13
2 Tl 0.9650 0.9300 0.6542  3 S 3.03-3.13
3 Pb 0.8261 0.6523 0.9072  2 S 2.74
4 Pb 0.1739 0.3477 0.0928  2 S 2.74
5 S 0.7150 0.4301 0.2979  2 Pb 2.74, 1 Tl 3.03
6 S 0.2850 0.5699 0.7021  2 Pb 2.74, 1 Tl 3.03

Values from the calculation:
Distance to the lowest polymorph of the same formula: 10 meV/atom
Formation energy without anion corrections: -0.2301 eV per atom
Total DFT energy (no corrections): -10.9 eV/f.u.
Spin magnetization: 0.000 μB/f.u.

No. 5
TlPb2S | PBE | relaxed

Lattice parameters (Å, degrees): 3.7954 3.7954 7.7871 90.00 90.00 90.00
With the nearest neighbours (Å) after each atom.
Fractional coordinates of all 4 atoms:
1 Pb 0.0000 0.0000 0.7959  4 S 3.12, 1 Pb 3.18
2 Pb 0.0000 0.0000 0.2041  4 S 3.12, 1 Pb 3.18
3 Tl 0.5000 0.5000 0.5000  8 Pb 3.54, 4 Tl 3.80, 2 S 3.89
4 S 0.5000 0.5000 0.0000  8 Pb 3.12

Values from the calculation:
Distance to the lowest polymorph of the same formula: 69 meV/atom
Formation energy without anion corrections: -0.0504 eV per atom
Total DFT energy (no corrections): -14.1 eV/f.u.
Spin magnetization: 0.000 μB/f.u.

No. 6
TlPbS2 | PBE | relaxed

Lattice parameters (Å, degrees): 4.2061 7.4589 7.2497 79.90 90.00 90.00
With the nearest neighbours (Å) after each atom.
Fractional coordinates of all 8 atoms:
1 Tl 0.5000 0.5597 0.2541  4 S 2.81-2.90
2 Tl 0.5000 0.4403 0.7459  4 S 2.81-2.90
3 Pb 0.0000 0.0000 0.0000  6 S 2.93-2.98
4 Pb 0.5000 0.0000 0.5000  6 S 2.92-2.96
5 S 0.0000 0.2270 0.6182  2 Tl 2.89, 3 Pb 2.92-2.98
6 S 0.5000 0.2279 0.1214  2 Tl 2.81-2.90, 3 Pb 2.93-2.96
7 S 0.5000 0.7721 0.8786  2 Tl 2.81-2.90, 3 Pb 2.93-2.96
8 S 0.0000 0.7730 0.3818  2 Tl 2.89, 3 Pb 2.92-2.98

Values from the calculation:
Distance to the lowest polymorph of the same formula: 16 meV/atom
Formation energy without anion corrections: -0.2754 eV per atom
Total DFT energy (no corrections): -15.4 eV/f.u.
Spin magnetization: 0.000 μB/f.u.

No. 7
Tl2PbS4 | PBE | relaxed

Lattice parameters (Å, degrees): 8.0462 8.2064 8.2064 61.67 60.64 60.64
With the nearest neighbours (Å) after each atom.
Fractional coordinates of all 14 atoms:
1 Tl 0.1368 0.1132 0.6132  4 S 2.60-2.66
2 Tl 0.5000 0.0000 0.0000  6 S 2.72-2.82
3 Tl 0.5000 0.5000 0.5000  6 S 2.72-2.82
4 Tl 0.8632 0.8868 0.3868  4 S 2.60-2.66
5 Pb 0.0000 0.5000 0.0000  6 S 2.89-2.91
6 Pb 0.5000 0.5000 0.0000  6 S 2.89-2.91
7 S 0.2651 0.2387 0.2311  2 Tl 2.60-2.72, 2 Pb 2.89
8 S 0.2651 0.7311 0.7387  2 Tl 2.60-2.72, 2 Pb 2.89
9 S 0.2682 0.2490 0.7490  3 Tl 2.66-2.82, 1 Pb 2.91
10 S 0.7338 0.2490 0.7490  3 Tl 2.66-2.82, 1 Pb 2.91
11 S 0.2662 0.7510 0.2510  3 Tl 2.66-2.82, 1 Pb 2.91
12 S 0.7349 0.2689 0.2613  2 Tl 2.60-2.72, 2 Pb 2.89
13 S 0.7318 0.7510 0.2510  3 Tl 2.66-2.82, 1 Pb 2.91
14 S 0.7349 0.7613 0.7689  2 Tl 2.60-2.72, 2 Pb 2.89

Values from the calculation:
Formation energy without anion corrections: -0.1368 eV per atom
Total DFT energy (no corrections): -25.9 eV/f.u.
Spin magnetization: 0.000 μB/f.u.

No. 8
TlPbS | PBE | relaxed

Lattice parameters (Å, degrees): 3.7130 3.7130 6.5931 106.35 106.35 90.00
With the nearest neighbours (Å) after each atom.
Fractional coordinates of all 3 atoms:
1 Pb 0.2972 0.2972 0.5943  4 S 2.93
2 Tl 0.0134 0.0134 0.0268  4 S 3.38, 5 Pb 3.43-3.71, 4 Tl 3.71
3 S 0.6894 0.6894 0.3788  4 Pb 2.93

Values from the calculation:
Distance to the lowest polymorph of the same formula: 65 meV/atom
Formation energy without anion corrections: -0.1748 eV per atom
Total DFT energy (no corrections): -10.7 eV/f.u.
Spin magnetization: 0.000 μB/f.u.

No. 9
TlPb2S | PBE | relaxed

Lattice parameters (Å, degrees): 3.6646 3.6646 10.8539 80.28 80.28 60.00
With the nearest neighbours (Å) after each atom.
Fractional coordinates of all 4 atoms:
1 Pb 0.1051 0.1051 0.6847  3 S 2.89
2 Pb 0.8949 0.8949 0.3153  3 S 2.89
3 Tl 0.0000 0.0000 0.0000  2 Pb 3.36, 6 Tl 3.66
4 S 0.5000 0.5000 0.5000  6 Pb 2.89

Values from the calculation:
Distance to the lowest polymorph of the same formula: 82 meV/atom
Formation energy without anion corrections: -0.0373 eV per atom
Total DFT energy (no corrections): -14.1 eV/f.u.
Spin magnetization: 0.000 μB/f.u.

No. 10
TlPb3S | PBE | relaxed

Lattice parameters (Å, degrees): 5.5705 5.5705 5.5705 90.00 90.00 90.00
With the nearest neighbours (Å) after each atom.
Fractional coordinates of all 5 atoms:
1 Pb 0.0000 0.5000 0.0000  2 S 2.79
2 Pb 0.0000 0.0000 0.5000  2 S 2.79
3 Pb 0.5000 0.0000 0.0000  2 S 2.79
4 Tl 0.5000 0.5000 0.5000  12 Pb 3.94
5 S 0.0000 0.0000 0.0000  6 Pb 2.79

Values from the calculation:
Distance to the lowest polymorph of the same formula: 0 meV/atom
Formation energy without anion corrections: 0.1037 eV per atom
Total DFT energy (no corrections): -17.1 eV/f.u.
Spin magnetization: 0.000 μB/f.u.

No. 11
Tl2PbS6 | PBE | relaxed

Lattice parameters (Å, degrees): 5.3124 8.9113 7.0208 129.39 82.21 90.00
With the nearest neighbours (Å) after each atom.
Fractional coordinates of all 9 atoms:
1 Tl 0.2864 0.3448 0.6896  8 S 3.28-3.62
2 Tl 0.7136 0.6552 0.3104  8 S 3.28-3.62
3 Pb 0.0000 0.0000 0.0000  8 S 3.04-3.21
4 S 0.7694 0.1507 0.7419  1 S 2.08
5 S 0.2306 0.4088 0.2581  1 S 2.08
6 S 0.2306 0.8493 0.2581  1 S 2.08
7 S 0.5000 0.1667 0.0000  2 S 2.08
8 S 0.7694 0.5912 0.7419  1 S 2.08
9 S 0.5000 0.8333 0.0000  2 S 2.08

Values from the calculation:
Formation energy without anion corrections: -0.0327 eV per atom
Total DFT energy (no corrections): -33.5 eV/f.u.
Spin magnetization: 0.000 μB/f.u.

No. 12
TlPbS | PBE | relaxed

Lattice parameters (Å, degrees): 3.8007 5.8380 8.0175 90.00 90.00 90.00
With the nearest neighbours (Å) after each atom.
Fractional coordinates of all 6 atoms:
1 S 0.5000 0.0000 0.6059  4 Pb 2.79-2.94, 2 Tl 3.11
2 S 0.0000 0.5000 0.3941  4 Pb 2.79-2.94, 2 Tl 3.11
3 Pb 0.0000 0.0000 0.3504  4 S 2.79-2.94
4 Pb 0.5000 0.5000 0.6496  4 S 2.79-2.94
5 Tl 0.5000 0.5000 0.0865  2 S 3.11
6 Tl 0.0000 0.0000 0.9135  2 S 3.11

Values from the calculation:
Distance to the lowest polymorph of the same formula: 0 meV/atom
Formation energy without anion corrections: -0.2401 eV per atom
Total DFT energy (no corrections): -10.9 eV/f.u.
Spin magnetization: 0.000 μB/f.u.

No. 13
TlPbS | PBE | relaxed

Lattice parameters (Å, degrees): 3.8392 3.8392 6.8377 90.00 90.00 120.00
With the nearest neighbours (Å) after each atom.
Fractional coordinates of all 3 atoms:
1 Pb 0.3333 0.6667 0.6055  3 S 2.83
2 Tl 0.0000 0.0000 0.0473  3 S 3.02
3 S 0.6667 0.3333 0.3472  3 Pb 2.83, 3 Tl 3.02

Values from the calculation:
Distance to the lowest polymorph of the same formula: 15 meV/atom
Formation energy without anion corrections: -0.2251 eV per atom
Total DFT energy (no corrections): -10.9 eV/f.u.
Spin magnetization: 0.000 μB/f.u.

No. 14
Tl5PbS4 | PBE | relaxed

Lattice parameters (Å, degrees): 4.1933 8.1640 9.5567 107.42 102.67 90.00
With the nearest neighbours (Å) after each atom.
Fractional coordinates of all 10 atoms:
1 Tl 0.1839 0.3193 0.3679  3 S 2.89-2.96
2 Tl 0.1624 0.8059 0.3247  3 S 2.91-3.13
3 Tl 0.8376 0.1941 0.6753  3 S 2.91-3.13
4 Tl 0.5000 0.5000 0.0000  4 S 3.01
5 Tl 0.8161 0.6807 0.6321  3 S 2.89-2.96
6 Pb 0.5000 0.0000 0.0000  6 S 2.89-2.91
7 S 0.6616 0.0520 0.3232  5 Tl 2.91-3.13, 1 Pb 2.91
8 S 0.0224 0.2549 0.0448  2 Pb 2.89, 3 Tl 2.89-3.01
9 S 0.3384 0.9480 0.6768  5 Tl 2.91-3.13, 1 Pb 2.91
10 S 0.9776 0.7451 0.9552  2 Pb 2.89, 3 Tl 2.89-3.01

Values from the calculation:
Distance to the lowest polymorph of the same formula: 0 meV/atom
Formation energy without anion corrections: -0.3122 eV per atom
Total DFT energy (no corrections): -35.2 eV/f.u.
Spin magnetization: 0.000 μB/f.u.

No. 15
Tl4Pb3S8 | PBE | relaxed

Lattice parameters (Å, degrees): 8.1852 8.2438 8.2438 90.90 119.33 119.33
With the nearest neighbours (Å) after each atom.
Fractional coordinates of all 15 atoms:
1 Tl 0.5000 0.0000 0.0000  6 S 2.85-2.94
2 Tl 0.0000 0.5000 0.0000  6 S 2.90-2.94
3 Tl 0.0000 0.0000 0.0000  6 S 2.74-2.79
4 Tl 0.0000 0.0000 0.5000  6 S 2.90-2.94
5 Pb 0.5000 0.5000 0.0000  6 S 2.89-2.94
6 Pb 0.5000 0.0000 0.5000  6 S 2.89-2.94
7 Pb 0.5000 0.5000 0.5000  6 S 2.94-2.97
8 S 0.4759 0.2342 0.2342  2 Tl 2.79-2.85, 3 Pb 2.94
9 S 0.0000 0.7640 0.2360  3 Tl 2.77-2.90, 2 Pb 2.93
10 S 0.9947 0.2340 0.2340  4 Tl 2.74-2.94, 1 Pb 2.97
11 S 0.5000 0.7502 0.2498  3 Pb 2.89-2.94, 3 Tl 2.93-2.94
12 S 0.5000 0.2498 0.7502  3 Pb 2.89-2.94, 3 Tl 2.93-2.94
13 S 0.0053 0.7660 0.7660  4 Tl 2.74-2.94, 1 Pb 2.97
14 S 0.0000 0.2360 0.7640  3 Tl 2.77-2.90, 2 Pb 2.93
15 S 0.5241 0.7658 0.7658  2 Tl 2.79-2.85, 3 Pb 2.94

Values from the calculation:
Formation energy without anion corrections: -0.2517 eV per atom
Total DFT energy (no corrections): -57.4 eV/f.u.
Spin magnetization: 0.000 μB/f.u.

No. 16
TlPb2S | PBE | relaxed

Lattice parameters (Å, degrees): 6.7725 6.7725 8.3107 65.95 65.95 90.00
With the nearest neighbours (Å) after each atom.
Fractional coordinates of all 8 atoms:
1 Pb 0.5924 0.1250 0.2500  2 S 2.81, 2 Tl 3.07
2 Pb 0.1576 0.6250 0.2500  2 S 2.81, 2 Tl 3.07
3 Pb 0.3750 0.4076 0.7500  2 S 2.81, 2 Tl 3.07
4 Pb 0.8750 0.8424 0.7500  2 S 2.81, 2 Tl 3.07
5 Tl 0.0000 0.0000 0.0000  4 Pb 3.07
6 Tl 0.7500 0.2500 0.5000  4 Pb 3.07
7 S 0.5000 0.5000 0.0000  4 Pb 2.81
8 S 0.2500 0.7500 0.5000  4 Pb 2.81

Values from the calculation:
Distance to the lowest polymorph of the same formula: 234 meV/atom
Formation energy without anion corrections: 0.1142 eV per atom
Total DFT energy (no corrections): -13.5 eV/f.u.
Spin magnetization: 0.000 μB/f.u.

No. 17
TlPbS2 | PBE | relaxed

Lattice parameters (Å, degrees): 5.1171 5.1171 5.1171 60.00 60.00 60.00
With the nearest neighbours (Å) after each atom.
Fractional coordinates of all 4 atoms:
1 Pb 0.5000 0.5000 0.5000  8 S 3.13
2 Tl 0.0000 0.0000 0.0000  8 S 3.13
3 S 0.2500 0.2500 0.2500  4 Pb 3.13, 4 Tl 3.13
4 S 0.7500 0.7500 0.7500  4 Tl 3.13, 4 Pb 3.13

Values from the calculation:
Distance to the lowest polymorph of the same formula: 161 meV/atom
Formation energy without anion corrections: -0.1312 eV per atom
Total DFT energy (no corrections): -14.9 eV/f.u.
Spin magnetization: 0.000 μB/f.u.

No. 18
TlPbS2 | PBE | relaxed

Lattice parameters (Å, degrees): 6.3594 6.3594 8.2505 67.33 67.33 90.00
With the nearest neighbours (Å) after each atom.
Fractional coordinates of all 8 atoms:
1 Pb 0.0000 0.0000 0.0000  4 S 2.88
2 Pb 0.7500 0.2500 0.5000  4 S 2.88
3 Tl 0.5000 0.5000 0.0000  4 S 2.80
4 Tl 0.2500 0.7500 0.5000  4 S 2.80
5 S 0.6137 0.1250 0.2500  2 Tl 2.80, 2 Pb 2.88
6 S 0.1363 0.6250 0.2500  2 Tl 2.80, 2 Pb 2.88
7 S 0.3750 0.3863 0.7500  2 Tl 2.80, 2 Pb 2.88
8 S 0.8750 0.8637 0.7500  2 Tl 2.80, 2 Pb 2.88

Values from the calculation:
Distance to the lowest polymorph of the same formula: 82 meV/atom
Formation energy without anion corrections: -0.2095 eV per atom
Total DFT energy (no corrections): -15.2 eV/f.u.
Spin magnetization: 0.000 μB/f.u.

No. 19
Tl5PbS4 | PBE | relaxed

Lattice parameters (Å, degrees): 7.3722 10.2454 9.2895 90.00 90.00 90.00
With the nearest neighbours (Å) after each atom.
Fractional coordinates of all 20 atoms:
1 Tl 0.2412 0.7543 0.8104  4 S 3.03-3.38
2 Tl 0.2412 0.2457 0.8104  4 S 3.03-3.38
3 Tl 0.8141 0.5000 0.0000  4 S 2.82-2.87
4 Tl 0.2412 0.7543 0.1896  4 S 3.03-3.38
5 Tl 0.2412 0.2457 0.1896  4 S 3.03-3.38
6 Tl 0.7588 0.7457 0.3104  4 S 3.03-3.38
7 Tl 0.7588 0.2543 0.3104  4 S 3.03-3.38
8 Tl 0.1859 0.0000 0.5000  4 S 2.82-2.87
9 Tl 0.7588 0.2543 0.6896  4 S 3.03-3.38
10 Tl 0.7588 0.7457 0.6896  4 S 3.03-3.38
11 Pb 0.7656 0.0000 0.0000  4 S 2.72-2.82
12 Pb 0.2344 0.5000 0.5000  4 S 2.72-2.82
13 S 0.9770 0.0000 0.7602  1 Pb 2.72, 1 Tl 2.87
14 S 0.6318 0.7420 0.0000  3 Tl 2.82-3.03, 1 Pb 2.82
15 S 0.6318 0.2580 0.0000  3 Tl 2.82-3.03, 1 Pb 2.82
16 S 0.9770 0.0000 0.2398  1 Pb 2.72, 1 Tl 2.87
17 S 0.0230 0.5000 0.2602  1 Pb 2.72, 1 Tl 2.87
18 S 0.3682 0.7580 0.5000  3 Tl 2.82-3.03, 1 Pb 2.82
19 S 0.3682 0.2420 0.5000  3 Tl 2.82-3.03, 1 Pb 2.82
20 S 0.0230 0.5000 0.7398  1 Pb 2.72, 1 Tl 2.87

Values from the calculation:
Distance to the lowest polymorph of the same formula: 45 meV/atom
Formation energy without anion corrections: -0.2671 eV per atom
Total DFT energy (no corrections): -34.7 eV/f.u.
Spin magnetization: 0.000 μB/f.u.

No. 20
TlPbS2 | PBE | relaxed

Lattice parameters (Å, degrees): 8.9576 8.9576 8.9576 25.13 25.13 25.13
With the nearest neighbours (Å) after each atom.
Fractional coordinates of all 4 atoms:
1 Pb 0.0000 0.0000 0.0000  2 S 2.81
2 Tl 0.5000 0.5000 0.5000  6 S 2.72
3 S 0.8919 0.8919 0.8919  3 Tl 2.72, 1 Pb 2.81
4 S 0.1081 0.1081 0.1081  3 Tl 2.72, 1 Pb 2.81

Values from the calculation:
Distance to the lowest polymorph of the same formula: 264 meV/atom
Formation energy without anion corrections: -0.0276 eV per atom
Total DFT energy (no corrections): -14.4 eV/f.u.
Spin magnetization: 0.000 μB/f.u.